Record 1
Entry from Alexandria via LeMat-Bulk: Sr2Si3Pd5 after structural relaxation (PBE-GGA).

Values from the calculation:
**Spin magnetization**: 0.0 μB/cell
**Space-group type**: Ibam, No. 72
**Formation energy without anion corrections**: -0.72 eV/atom

```
Sr2Si3Pd5
1.0
6.378 0.000 0.000
3.189 7.941 0.471
3.189 1.690 7.773
Pd Si Sr
10 6 4
Direct
0.979 0.271 0.271
0.750 0.500 0.500
0.521 0.729 0.729
0.391 0.235 0.983
0.021 0.729 0.729
0.891 0.983 0.235
0.479 0.271 0.271
0.609 0.765 0.017
0.250 0.500 0.500
0.109 0.017 0.765
0.620 0.500 0.259
0.380 0.500 0.741
0.250 0.000 0.000
0.880 0.741 0.500
0.120 0.259 0.500
0.750 0.000 0.000
0.632 0.113 0.622
0.132 0.622 0.113
0.868 0.378 0.887
0.368 0.887 0.378
```

Record 2
Entry from Alexandria via LeMat-Bulk: CaEuTlAu after structural relaxation (PBE-GGA).

Values from the calculation:
**Spin magnetization**: 7.1 μB/cell
**Space-group type**: F-43m, No. 216
**Formation energy**: -0.5598 eV per atom

```
CaEuTlAu
1.0
5.383 0.000 0.000
2.692 4.662 0.000
2.692 1.554 4.395
Ca Au Eu Tl
1 1 1 1
Direct
0.250 0.250 0.250
0.000 0.000 0.000
0.750 0.750 0.750
0.500 0.500 0.500
```

Record 3
Entry from Alexandria via LeMat-Bulk: CaTc2Ru after structural relaxation (PBE-GGA).

Values from the calculation:
**Spin magnetization**: 0.0 μB/cell
**Space-group type**: Fm-3m, No. 225
**Formation energy**: 0.6498 eV per atom
**E above lowest polymorph**: 1.15 eV per formula unit

```
CaTc2Ru
1.0
2.551 -3.374 -1.538
0.678 -3.649 2.545
-1.898 -3.920 -1.135
Tc Ca Ru
2 1 1
Direct
0.750 0.750 0.750
0.250 0.250 0.250
0.000 0.000 0.000
0.500 0.500 0.500
```

Record 4
Entry from Alexandria via LeMat-Bulk: Sm12Tl5Zn2 after structural relaxation (PBE-GGA).

Values from the calculation:
**Spin magnetization**: 0.0 μB/cell
**Space-group type**: C2/m, No. 12
**Formation energy**: -0.1562 eV per atom

```
Sm12Tl5Zn2
1.0
-6.663 -2.789 0.916
6.828 -5.900 2.766
0.107 2.640 8.809
Sm Zn Tl
12 2 5
Direct
0.404 0.317 0.065
0.967 0.935 0.182
0.033 0.065 0.818
0.087 0.683 0.935
0.597 0.696 0.511
0.913 0.317 0.065
0.596 0.683 0.935
0.504 0.008 0.304
0.099 0.696 0.511
0.901 0.304 0.489
0.403 0.304 0.489
0.496 0.992 0.696
0.334 0.000 0.000
0.666 0.000 0.000
0.701 0.403 0.761
0.000 0.000 0.500
0.299 0.597 0.239
0.226 0.452 0.753
0.774 0.548 0.247
```

Record 5
Entry from Alexandria via LeMat-Bulk: CsCdInI4 after structural relaxation (PBE-GGA).

Values from the calculation:
**Spin magnetization**: 0.0 μB/cell
**Space-group type**: P2_1/m, No. 11
**Formation energy without anion corrections**: -0.84 eV/atom

```
CsCdInI4
1.0
-1.844 4.869 -6.322
-3.571 -6.533 -3.991
-7.997 0.260 6.731
I Cd Cs In
8 2 2 2
Direct
0.006 0.511 0.731
0.590 0.250 0.865
0.559 0.250 0.413
0.994 0.489 0.269
0.410 0.750 0.135
0.994 0.011 0.269
0.006 0.989 0.731
0.441 0.750 0.587
0.777 0.250 0.679
0.223 0.750 0.321
0.754 0.750 0.945
0.246 0.250 0.055
0.772 0.750 0.452
0.228 0.250 0.548
```

Record 6
Entry from Alexandria via LeMat-Bulk: Pm2Re3Tc2 after structural relaxation (PBE-GGA).

Values from the calculation:
**Spin magnetization**: 0.0 μB/cell
**Space-group type**: C2/m, No. 12
**Formation energy**: 0.2022 eV per atom

```
Pm2Re3Tc2
1.0
4.228 0.000 0.000
-2.114 4.992 -2.345
0.000 -0.656 7.381
Tc Re Pm
2 3 2
Direct
0.131 0.261 0.192
0.869 0.739 0.808
0.334 0.668 0.584
0.666 0.332 0.416
0.500 0.000 0.000
0.869 0.738 0.236
0.131 0.262 0.764
```

Record 7
Entry from Alexandria via LeMat-Bulk: BaRuW2 after structural relaxation (PBE-GGA).

Values from the calculation:
**Spin magnetization**: 0.0 μB/cell
**Space-group type**: R3m, No. 160
**Formation energy**: 0.9517 eV per atom
**E above lowest polymorph**: 0.94 eV per formula unit

```
BaRuW2
1.0
9.851 0.011 0.007
9.345 3.116 0.007
9.345 1.523 2.719
W Ru Ba
2 1 1
Direct
0.269 0.269 0.269
0.001 0.001 0.001
0.732 0.732 0.732
0.498 0.498 0.498
```

Record 8
Entry from Alexandria via LeMat-Bulk: Ca2Ac3Nd2 after structural relaxation (PBE-GGA).

Values from the calculation:
**Spin magnetization**: 0.0 μB/cell
**Space-group type**: Cmmm, No. 65
**Formation energy**: 0.0536 eV per atom

```
Ca2Ac3Nd2
1.0
5.825 0.000 0.773
0.000 3.832 0.000
1.205 0.000 13.255
Nd Ac Ca
2 3 2
Direct
0.283 0.500 0.434
0.717 0.500 0.566
0.000 0.000 0.000
0.156 0.000 0.688
0.844 0.000 0.312
0.574 0.500 0.852
0.426 0.500 0.148
```